[1]
Entry from the Alexandria database: Co5Cl after structural relaxation (PBE).

Calculated values
ρ (g cm⁻³): 6.70
DOS(E_F) (states/eV/atom): 1.48
Relative energy among the computed polymorphs (eV per atom): 0.349
Raw formation energy (kJ/mol of atoms): 60
SG: No. 191

a = 4.738 Å, b = 4.738 Å, c = 4.209 Å
α = 90.00°, β = 90.00°, γ = 120.00°
Element x y z (fractional)
1 Co 0.000 0.500 0.000
2 Co 0.333 0.667 0.500
3 Co 0.500 0.000 0.000
4 Co 0.500 0.500 0.000
5 Co 0.667 0.333 0.500
6 Cl 0.000 0.000 0.500


[2]
Entry from the Alexandria database: CoCl5 after structural relaxation (PBE).

Calculated values
ρ (g cm⁻³): 2.41
DOS(E_F) (states/eV/atom): 1.10
Relative energy among the computed polymorphs (eV per atom): 0.000
Raw formation energy (kJ/mol of atoms): -24
SG: No. 6

a = 3.403 Å, b = 4.700 Å, c = 10.210 Å
α = 90.00°, β = 92.93°, γ = 90.00°
Element x y z (fractional)
1 Co 0.000 0.000 0.000
2 Cl 0.001 0.500 0.000
3 Cl 0.115 0.500 0.592
4 Cl 0.477 0.000 0.853
5 Cl 0.523 0.000 0.147
6 Cl 0.911 0.500 0.406


[3]
Entry from the Alexandria database: CoCl2 after structural relaxation (PBE).

Calculated values
ρ (g cm⁻³): 2.61
DOS(E_F) (states/eV/atom): 0.32
Raw formation energy (kJ/mol of atoms): -49
SG: No. 12

a = 14.023 Å, b = 3.387 Å, c = 9.147 Å
α = 90.00°, β = 130.58°, γ = 90.00°
Element x y z (fractional)
1 Co 0.244 0.000 0.132
2 Co 0.256 0.500 0.868
3 Co 0.744 0.500 0.132
4 Co 0.756 0.000 0.868
5 Cl 0.103 0.500 0.889
6 Cl 0.199 0.000 0.653
7 Cl 0.301 0.500 0.347
8 Cl 0.397 0.000 0.111
9 Cl 0.603 0.000 0.889
10 Cl 0.699 0.500 0.653
11 Cl 0.801 0.000 0.347
12 Cl 0.897 0.500 0.111


[4]
Entry from the Alexandria database: CoCl3 after structural relaxation (PBE).

Calculated values
ρ (g cm⁻³): 2.66
DOS(E_F) (states/eV/atom): 0.78
Raw formation energy (kJ/mol of atoms): 12
SG: No. 99

a = 4.016 Å, b = 4.016 Å, c = 6.408 Å
α = 90.00°, β = 90.00°, γ = 90.00°
Element x y z (fractional)
1 Co 0.000 0.000 0.000
2 Cl 0.000 0.500 0.810
3 Cl 0.500 0.000 0.810
4 Cl 0.500 0.500 0.231


[5]
Entry from the Alexandria database: Co3Cl after structural relaxation (PBE).

Calculated values
ρ (g cm⁻³): 6.94
DOS(E_F) (states/eV/atom): 1.07
Relative energy among the computed polymorphs (eV per atom): 0.131
Raw formation energy (kJ/mol of atoms): 36
SG: No. 166

a = 2.788 Å, b = 2.788 Å, c = 22.643 Å
α = 90.00°, β = 90.00°, γ = 120.00°
Element x y z (fractional)
1 Co 0.000 0.000 0.000
2 Co 0.000 0.000 0.251
3 Co 0.000 0.000 0.749
4 Co 0.333 0.667 0.415
5 Co 0.333 0.667 0.667
6 Co 0.333 0.667 0.918
7 Co 0.667 0.333 0.082
8 Co 0.667 0.333 0.333
9 Co 0.667 0.333 0.585
10 Cl 0.000 0.000 0.500
11 Cl 0.333 0.667 0.167
12 Cl 0.667 0.333 0.833


[6]
Entry from the Alexandria database: CoCl3 after structural relaxation (PBE).

Calculated values
ρ (g cm⁻³): 2.99
DOS(E_F) (states/eV/atom): 0.77
Raw formation energy (kJ/mol of atoms): 6
SG: No. 123

a = 3.009 Å, b = 3.009 Å, c = 10.131 Å
α = 90.00°, β = 90.00°, γ = 90.00°
Element x y z (fractional)
1 Co 0.000 0.000 0.000
2 Cl 0.000 0.000 0.500
3 Cl 0.500 0.500 0.147
4 Cl 0.500 0.500 0.853


[7]
Entry from the Alexandria database: CoCl5 after structural relaxation (PBE).

Calculated values
ρ (g cm⁻³): 2.40
DOS(E_F) (states/eV/atom): 1.03
Relative energy among the computed polymorphs (eV per atom): 0.260
Raw formation energy (kJ/mol of atoms): 1
SG: No. 8

a = 12.292 Å, b = 3.324 Å, c = 8.757 Å
α = 90.00°, β = 114.14°, γ = 90.00°
Element x y z (fractional)
1 Co 0.000 0.000 0.000
2 Co 0.500 0.500 0.000
3 Cl 0.118 0.500 0.998
4 Cl 0.129 0.500 0.498
5 Cl 0.296 0.000 0.497
6 Cl 0.382 0.000 0.002
7 Cl 0.462 0.500 0.497
8 Cl 0.618 0.000 0.998
9 Cl 0.629 0.000 0.498
10 Cl 0.796 0.500 0.497
11 Cl 0.882 0.500 0.002
12 Cl 0.962 0.000 0.497


[8]
Entry from the Alexandria database: Co3Cl after structural relaxation (PBE).

Calculated values
ρ (g cm⁻³): 6.97
DOS(E_F) (states/eV/atom): 1.74
Relative energy among the computed polymorphs (eV per atom): 0.525
Raw formation energy (kJ/mol of atoms): 74
SG: No. 221

a = 3.698 Å, b = 3.698 Å, c = 3.698 Å
α = 90.00°, β = 90.00°, γ = 90.00°
Element x y z (fractional)
1 Co 0.000 0.000 0.500
2 Co 0.000 0.500 0.000
3 Co 0.500 0.000 0.000
4 Cl 0.500 0.500 0.500


[9]
Entry from the Alexandria database: Co4Cl after structural relaxation (PBE).

Calculated values
ρ (g cm⁻³): 6.73
DOS(E_F) (states/eV/atom): 1.44
Relative energy among the computed polymorphs (eV per atom): 0.510
Raw formation energy (kJ/mol of atoms): 91
SG: No. 221

a = 4.059 Å, b = 4.059 Å, c = 4.059 Å
α = 90.00°, β = 90.00°, γ = 90.00°
Element x y z (fractional)
1 Co 0.000 0.000 0.000
2 Co 0.000 0.500 0.500
3 Co 0.500 0.000 0.500
4 Co 0.500 0.500 0.000
5 Cl 0.500 0.500 0.500


[10]
Entry from the Alexandria database: CoCl3 after structural relaxation (PBE).

Calculated values
ρ (g cm⁻³): 3.27
DOS(E_F) (states/eV/atom): 1.21
Raw formation energy (kJ/mol of atoms): -13
SG: No. 166

a = 3.349 Å, b = 3.349 Å, c = 25.918 Å
α = 90.00°, β = 90.00°, γ = 120.00°
Element x y z (fractional)
1 Co 0.000 0.000 0.000
2 Co 0.333 0.667 0.667
3 Co 0.667 0.333 0.333
4 Cl 0.000 0.000 0.285
5 Cl 0.000 0.000 0.500
6 Cl 0.000 0.000 0.715
7 Cl 0.333 0.667 0.167
8 Cl 0.333 0.667 0.382
9 Cl 0.333 0.667 0.951
10 Cl 0.667 0.333 0.049
11 Cl 0.667 0.333 0.618
12 Cl 0.667 0.333 0.833


[11]
Entry from the Alexandria database: Co3Cl after structural relaxation (PBE).

Calculated values
ρ (g cm⁻³): 6.49
DOS(E_F) (states/eV/atom): 1.11
Relative energy among the computed polymorphs (eV per atom): 0.303
Raw formation energy (kJ/mol of atoms): 53
SG: No. 63

a = 7.002 Å, b = 7.923 Å, c = 3.918 Å
α = 90.00°, β = 90.00°, γ = 90.00°
Element x y z (fractional)
1 Co 0.000 0.197 0.250
2 Co 0.000 0.803 0.750
3 Co 0.177 0.082 0.750
4 Co 0.177 0.918 0.250
5 Co 0.323 0.418 0.250
6 Co 0.323 0.582 0.750
7 Co 0.500 0.303 0.750
8 Co 0.500 0.697 0.250
9 Co 0.677 0.418 0.250
10 Co 0.677 0.582 0.750
11 Co 0.823 0.082 0.750
12 Co 0.823 0.918 0.250
13 Cl 0.000 0.359 0.750
14 Cl 0.000 0.641 0.250
15 Cl 0.500 0.141 0.250
16 Cl 0.500 0.859 0.750


[12]
Entry from the Alexandria database: CoCl2 after structural relaxation (PBE).

Calculated values
ρ (g cm⁻³): 3.78
Raw formation energy (kJ/mol of atoms): -16
SG: No. 225

a = 6.109 Å, b = 6.109 Å, c = 6.109 Å
α = 90.00°, β = 90.00°, γ = 90.00°
Element x y z (fractional)
1 Co 0.000 0.000 0.000
2 Co 0.000 0.500 0.500
3 Co 0.500 0.000 0.500
4 Co 0.500 0.500 0.000
5 Cl 0.250 0.250 0.250
6 Cl 0.250 0.250 0.750
7 Cl 0.250 0.750 0.250
8 Cl 0.250 0.750 0.750
9 Cl 0.750 0.250 0.250
10 Cl 0.750 0.250 0.750
11 Cl 0.750 0.750 0.250
12 Cl 0.750 0.750 0.750


[13]
Entry from the Alexandria database: Co5Cl after structural relaxation (PBE).

Calculated values
ρ (g cm⁻³): 7.05
DOS(E_F) (states/eV/atom): 1.29
Relative energy among the computed polymorphs (eV per atom): 0.412
Raw formation energy (kJ/mol of atoms): 66
SG: No. 216

a = 4.791 Å, b = 4.791 Å, c = 4.791 Å
α = 60.00°, β = 60.00°, γ = 60.00°
Element x y z (fractional)
1 Co 0.000 0.000 0.000
2 Co 0.123 0.626 0.626
3 Co 0.626 0.123 0.626
4 Co 0.626 0.626 0.123
5 Co 0.626 0.626 0.626
6 Cl 0.250 0.250 0.250


[14]
Entry from the Alexandria database: CoCl3 after structural relaxation (PBE).

Calculated values
ρ (g cm⁻³): 2.62
DOS(E_F) (states/eV/atom): 2.08
Raw formation energy (kJ/mol of atoms): -9
SG: No. 122

a = 6.761 Å, b = 6.761 Å, c = 9.161 Å
α = 90.00°, β = 90.00°, γ = 90.00°
Element x y z (fractional)
1 Co 0.000 0.000 0.000
2 Co 0.000 0.500 0.250
3 Co 0.500 0.000 0.750
4 Co 0.500 0.500 0.500
5 Cl 0.000 0.000 0.500
6 Cl 0.000 0.500 0.750
7 Cl 0.133 0.250 0.125
8 Cl 0.250 0.633 0.375
9 Cl 0.250 0.867 0.875
10 Cl 0.367 0.250 0.625
11 Cl 0.500 0.000 0.250
12 Cl 0.500 0.500 0.000
13 Cl 0.633 0.750 0.625
14 Cl 0.750 0.133 0.875
15 Cl 0.750 0.367 0.375
16 Cl 0.867 0.750 0.125


[15]
Entry from the Alexandria database: CoCl2 after structural relaxation (PBE).

Calculated values
ρ (g cm⁻³): 3.16
DOS(E_F) (states/eV/atom): 0.24
Raw formation energy (kJ/mol of atoms): -14
SG: No. 141

a = 3.092 Å, b = 3.092 Å, c = 28.511 Å
α = 90.00°, β = 90.00°, γ = 90.00°
Element x y z (fractional)
1 Co 0.000 0.250 0.375
2 Co 0.000 0.750 0.625
3 Co 0.500 0.250 0.125
4 Co 0.500 0.750 0.875
5 Cl 0.000 0.250 0.823
6 Cl 0.000 0.250 0.927
7 Cl 0.000 0.750 0.073
8 Cl 0.000 0.750 0.177
9 Cl 0.500 0.250 0.573
10 Cl 0.500 0.250 0.677
11 Cl 0.500 0.750 0.323
12 Cl 0.500 0.750 0.427


[16]
Entry from the Alexandria database: CoCl2 after structural relaxation (PBE).

Calculated values
ρ (g cm⁻³): 3.96
DOS(E_F) (states/eV/atom): 1.17
Raw formation energy (kJ/mol of atoms): -35
SG: No. 205

a = 6.018 Å, b = 6.018 Å, c = 6.018 Å
α = 90.00°, β = 90.00°, γ = 90.00°
Element x y z (fractional)
1 Co 0.000 0.000 0.000
2 Co 0.000 0.500 0.500
3 Co 0.500 0.000 0.500
4 Co 0.500 0.500 0.000
5 Cl 0.151 0.651 0.849
6 Cl 0.151 0.849 0.349
7 Cl 0.349 0.151 0.849
8 Cl 0.349 0.349 0.349
9 Cl 0.651 0.651 0.651
10 Cl 0.651 0.849 0.151
11 Cl 0.849 0.151 0.651
12 Cl 0.849 0.349 0.151


[17]
Entry from the Alexandria database: Co3Cl after structural relaxation (PBE).

Calculated values
ρ (g cm⁻³): 6.74
DOS(E_F) (states/eV/atom): 1.26
Relative energy among the computed polymorphs (eV per atom): 0.138
Raw formation energy (kJ/mol of atoms): 37
SG: No. 187

a = 2.843 Å, b = 2.843 Å, c = 7.470 Å
α = 90.00°, β = 90.00°, γ = 120.00°
Element x y z (fractional)
1 Co 0.000 0.000 0.000
2 Co 0.667 0.333 0.240
3 Co 0.667 0.333 0.760
4 Cl 0.000 0.000 0.500


[18]
Entry from the Alexandria database: Co3Cl after structural relaxation (PBE).

Calculated values
ρ (g cm⁻³): 5.61
DOS(E_F) (states/eV/atom): 1.24
Relative energy among the computed polymorphs (eV per atom): 0.372
Raw formation energy (kJ/mol of atoms): 60
SG: No. 194

a = 6.247 Å, b = 6.247 Å, c = 3.720 Å
α = 90.00°, β = 90.00°, γ = 120.00°
Element x y z (fractional)
1 Co 0.132 0.264 0.250
2 Co 0.132 0.868 0.250
3 Co 0.264 0.132 0.750
4 Co 0.736 0.868 0.250
5 Co 0.868 0.132 0.750
6 Co 0.868 0.736 0.750
7 Cl 0.333 0.667 0.750
8 Cl 0.667 0.333 0.250


[19]
Entry from the Alexandria database: CoCl2 after structural relaxation (PBE).

Calculated values
ρ (g cm⁻³): 3.49
DOS(E_F) (states/eV/atom): 1.58
Raw formation energy (kJ/mol of atoms): 6
SG: No. 194

a = 3.951 Å, b = 3.951 Å, c = 9.142 Å
α = 90.00°, β = 90.00°, γ = 120.00°
Element x y z (fractional)
1 Co 0.333 0.667 0.250
2 Co 0.667 0.333 0.750
3 Cl 0.000 0.000 0.000
4 Cl 0.000 0.000 0.500
5 Cl 0.333 0.667 0.750
6 Cl 0.667 0.333 0.250


[20]
Entry from the Alexandria database: Co4Cl after structural relaxation (PBE).

Calculated values
ρ (g cm⁻³): 7.47
DOS(E_F) (states/eV/atom): 0.91
Relative energy among the computed polymorphs (eV per atom): 0.000
Raw formation energy (kJ/mol of atoms): 42
SG: No. 87

a = 6.609 Å, b = 6.609 Å, c = 2.759 Å
α = 90.00°, β = 90.00°, γ = 90.00°
Element x y z (fractional)
1 Co 0.075 0.297 0.000
2 Co 0.203 0.575 0.500
3 Co 0.297 0.925 0.000
4 Co 0.425 0.203 0.500
5 Co 0.575 0.797 0.500
6 Co 0.703 0.075 0.000
7 Co 0.797 0.425 0.500
8 Co 0.925 0.703 0.000
9 Cl 0.000 0.000 0.500
10 Cl 0.500 0.500 0.000


[21]
Entry from the Alexandria database: Co3Cl after structural relaxation (PBE).

Calculated values
ρ (g cm⁻³): 7.00
DOS(E_F) (states/eV/atom): 1.37
Relative energy among the computed polymorphs (eV per atom): 0.421
Raw formation energy (kJ/mol of atoms): 64
SG: No. 166

a = 7.934 Å, b = 7.934 Å, c = 2.769 Å
α = 90.00°, β = 90.00°, γ = 120.00°
Element x y z (fractional)
1 Co 0.000 0.500 0.000
2 Co 0.167 0.333 0.333
3 Co 0.167 0.833 0.333
4 Co 0.333 0.167 0.667
5 Co 0.500 0.000 0.000
6 Co 0.500 0.500 0.000
7 Co 0.667 0.833 0.333
8 Co 0.833 0.167 0.667
9 Co 0.833 0.667 0.667
10 Cl 0.000 0.000 0.000
11 Cl 0.333 0.667 0.667
12 Cl 0.667 0.333 0.333


[22]
Entry from the Alexandria database: CoCl3 after structural relaxation (PBE).

Calculated values
ρ (g cm⁻³): 2.38
DOS(E_F) (states/eV/atom): 1.05
Raw formation energy (kJ/mol of atoms): -33
SG: No. 44

a = 3.089 Å, b = 11.195 Å, c = 6.681 Å
α = 90.00°, β = 90.00°, γ = 90.00°
Element x y z (fractional)
1 Co 0.000 0.000 0.000
2 Co 0.500 0.500 0.500
3 Cl 0.000 0.360 0.365
4 Cl 0.000 0.500 0.770
5 Cl 0.000 0.640 0.365
6 Cl 0.500 0.000 0.270
7 Cl 0.500 0.140 0.865
8 Cl 0.500 0.860 0.865


[23]
Entry from the Alexandria database: CoCl2 after structural relaxation (PBE).

Calculated values
ρ (g cm⁻³): 2.43
DOS(E_F) (states/eV/atom): 1.28
Raw formation energy (kJ/mol of atoms): -36
SG: No. 63

a = 3.231 Å, b = 13.271 Å, c = 8.280 Å
α = 90.00°, β = 90.00°, γ = 90.00°
Element x y z (fractional)
1 Co 0.000 0.110 0.250
2 Co 0.000 0.890 0.750
3 Co 0.500 0.390 0.750
4 Co 0.500 0.610 0.250
5 Cl 0.000 0.278 0.750
6 Cl 0.000 0.498 0.250
7 Cl 0.000 0.502 0.750
8 Cl 0.000 0.722 0.250
9 Cl 0.500 0.002 0.750
10 Cl 0.500 0.222 0.250
11 Cl 0.500 0.778 0.750
12 Cl 0.500 0.998 0.250


[24]
Entry from the Alexandria database: CoCl3 after structural relaxation (PBE).

Calculated values
ρ (g cm⁻³): 2.08
DOS(E_F) (states/eV/atom): 0.20
Raw formation energy (kJ/mol of atoms): -46
SG: No. 59

a = 3.580 Å, b = 12.117 Å, c = 6.076 Å
α = 90.00°, β = 90.00°, γ = 90.00°
Element x y z (fractional)
1 Co 0.250 0.250 0.084
2 Co 0.750 0.750 0.916
3 Cl 0.250 0.099 0.256
4 Cl 0.250 0.401 0.256
5 Cl 0.250 0.750 0.151
6 Cl 0.750 0.250 0.849
7 Cl 0.750 0.599 0.744
8 Cl 0.750 0.901 0.744


[25]
Entry from the Alexandria database: Co3Cl after structural relaxation (PBE).

Calculated values
ρ (g cm⁻³): 6.31
DOS(E_F) (states/eV/atom): 1.29
Relative energy among the computed polymorphs (eV per atom): 0.000
Raw formation energy (kJ/mol of atoms): 24
SG: No. 47

a = 2.868 Å, b = 3.024 Å, c = 6.435 Å
α = 90.00°, β = 90.00°, γ = 90.00°
Element x y z (fractional)
1 Co 0.000 0.000 0.000
2 Co 0.500 0.500 0.197
3 Co 0.500 0.500 0.803
4 Cl 0.000 0.500 0.500


[26]
Entry from the Alexandria database: CoCl4 after structural relaxation (PBE).

Calculated values
ρ (g cm⁻³): 2.33
DOS(E_F) (states/eV/atom): 0.77
Raw formation energy (kJ/mol of atoms): 26
SG: No. 139

a = 6.116 Å, b = 6.116 Å, c = 7.655 Å
α = 90.00°, β = 90.00°, γ = 90.00°
Element x y z (fractional)
1 Co 0.000 0.000 0.000
2 Co 0.500 0.500 0.500
3 Cl 0.000 0.000 0.271
4 Cl 0.000 0.000 0.729
5 Cl 0.000 0.500 0.250
6 Cl 0.000 0.500 0.750
7 Cl 0.500 0.000 0.250
8 Cl 0.500 0.000 0.750
9 Cl 0.500 0.500 0.229
10 Cl 0.500 0.500 0.771


[27]
Entry from the Alexandria database: CoCl2 after structural relaxation (PBE).

Calculated values
ρ (g cm⁻³): 3.00
DOS(E_F) (states/eV/atom): 0.73
Raw formation energy (kJ/mol of atoms): -31
SG: No. 63

a = 3.210 Å, b = 26.809 Å, c = 3.335 Å
α = 90.00°, β = 90.00°, γ = 90.00°
Element x y z (fractional)
1 Co 0.000 0.121 0.250
2 Co 0.000 0.879 0.750
3 Co 0.500 0.379 0.750
4 Co 0.500 0.621 0.250
5 Cl 0.000 0.318 0.750
6 Cl 0.000 0.425 0.250
7 Cl 0.000 0.575 0.750
8 Cl 0.000 0.682 0.250
9 Cl 0.500 0.075 0.750
10 Cl 0.500 0.182 0.250
11 Cl 0.500 0.818 0.750
12 Cl 0.500 0.925 0.250


[28]
Entry from the Alexandria database: CoCl3 after structural relaxation (PBE).

Calculated values
ρ (g cm⁻³): 2.82
DOS(E_F) (states/eV/atom): 1.08
Raw formation energy (kJ/mol of atoms): -41
SG: No. 65

a = 4.648 Å, b = 12.672 Å, c = 3.303 Å
α = 90.00°, β = 90.00°, γ = 90.00°
Element x y z (fractional)
1 Co 0.000 0.000 0.000
2 Co 0.500 0.500 0.000
3 Cl 0.000 0.120 0.500
4 Cl 0.000 0.500 0.000
5 Cl 0.000 0.880 0.500
6 Cl 0.500 0.000 0.000
7 Cl 0.500 0.380 0.500
8 Cl 0.500 0.620 0.500